VASP calculation (PBE with a Hubbard U) on a relaxed structure of LiGaMoF6.

```
18
Lattice="-5.3441 1.5091 0.6865 1.8633 -1.4694 -5.0673 -2.1704 -8.4352 1.6479" Properties=species:S:1:pos:R:3 pbc="T T T"
Mo -1.0817 -2.5853 -2.7374
Ga -3.4842 -1.5925 -0.8194
F -3.0980 -7.3209 -0.0092
F -3.1705 -4.8030 1.2197
F -6.0377 -4.2965 0.0365
F 0.3865 -4.0989 -2.7693
F -1.9406 -3.1331 -0.8907
Li 0.0000 0.0000 0.0000
F -0.2058 -2.0405 -4.5768
F -2.5531 -1.0745 -2.7237
F -5.4453 -6.3549 1.8440
Ga -2.1669 -6.8029 -1.9134
F -2.4806 -3.5924 -3.9526
Mo -4.5694 -5.8101 0.0045
F 0.3032 -1.5725 -1.5110
Li -1.0852 -4.2176 0.8239
F -5.9543 -6.8229 -1.2218
F -3.7105 -5.2623 -1.8421
```

## Properties
Final energy in eV per atom: -4.98